## Na2Co2ReO6 (GGA+U)

Data for an optimized crystal structure of Na2Co2ReO6.

Geometry as CIF:
```
data_Na2Co2ReO6
_chemical_formula_sum 'Na4 Co4 Re2 O12'
_space_group_name_H-M_alt 'C 1 2/m 1'
_space_group_IT_number 12
_cell_length_a 5.3108
_cell_length_b 8.9892
_cell_length_c 5.6868
_cell_angle_alpha 90.00
_cell_angle_beta 109.54
_cell_angle_gamma 90.00
loop_
_space_group_symop_operation_xyz
'x,y,z'
'-x,-y,-z'
'-x,y,-z'
'x,-y,z'
'x+1/2,y+1/2,z'
'-x+1/2,-y+1/2,-z'
'-x+1/2,y+1/2,-z'
'x+1/2,-y+1/2,z'
loop_
_atom_site_label
_atom_site_type_symbol
_atom_site_fract_x
_atom_site_fract_y
_atom_site_fract_z
Na1 Na 0.0000 0.1767 0.0000
Co1 Co 0.0000 0.3372 0.5000
Re1 Re 0.0000 0.0000 0.5000
O1 O 0.2239 0.1572 0.7004
O2 O 0.2354 0.0000 0.2985
```

Results
For the energy, the calculation gives -0.468 Ry per atom.